La2PmDyEr5, relaxed, DFT GGA-PBE; calculated density = 8.03 g/cm³; calculated formation energy = 223.0 kJ/mol of formula units; uncorrected energy = -4.412 eV per atom; calculated volume = 588.29 Å³/cell
1.0
-4.3271 4.3271 7.8547
4.3271 -4.3271 7.8547
4.3271 4.3271 -7.8547
La Pm Dy Er
4 2 2 10
direct
0.1173 0.6173 0.7347
0.3827 0.1173 0.5000
0.6173 0.8827 0.5000
0.8827 0.3827 0.2653
0.2500 0.2500 0.0000
0.7500 0.7500 0.0000
0.2500 0.7500 0.5000
0.7500 0.2500 0.5000
0.0000 0.0000 0.0000
0.0742 0.1435 0.5000
0.1435 0.6435 0.0694
0.3565 0.4258 0.5000
0.4258 0.9258 0.0694
0.5000 0.5000 0.0000
0.5742 0.0742 0.9306
0.6435 0.5742 0.5000
0.8565 0.3565 0.9306
0.9258 0.8565 0.5000